No. 1
Compound: LiGaPb
Source: the Alexandria database
Functional: PBE-GGA
Structure: relaxed

Calculated values
Its formation energy is -152 meV/atom. Its total energy is -3.035 eV/atom. For the magnetic moment, the calculation gives 0.00 μB per cell.

Structure (POSCAR):
```
LiGaPb
1.0
-1.211 -3.739 3.880
1.795 -3.248 -2.570
9.351 1.621 4.481
Pb Ga Li
4 4 4
direct
0.226 0.250 0.545
0.274 0.750 0.045
0.774 0.750 0.455
0.726 0.250 0.955
0.499 0.250 0.233
0.001 0.750 0.733
0.501 0.750 0.767
0.999 0.250 0.267
0.726 0.250 0.667
0.774 0.750 0.167
0.274 0.750 0.333
0.226 0.250 0.833
```



No. 2
Compound: Li4GaPb2
Source: the Alexandria database
Functional: PBE-GGA
Structure: relaxed

Calculated values
Its formation energy is -216 meV/atom. Its total energy is -2.801 eV/atom. For the magnetic moment, the calculation gives 0.00 μB per cell.

Structure (POSCAR):
```
Li4GaPb2
1.0
5.117 0.000 -0.250
0.000 5.771 0.000
-1.825 0.000 9.799
Li Ga Pb
8 2 4
direct
0.611 0.502 0.282
0.073 0.750 0.890
0.927 0.250 0.110
0.611 0.998 0.282
0.687 0.250 0.536
0.389 0.002 0.718
0.389 0.498 0.718
0.313 0.750 0.464
0.134 0.750 0.200
0.866 0.250 0.800
0.627 0.750 0.005
0.373 0.250 0.995
0.133 0.250 0.403
0.867 0.750 0.597
```



No. 3
Compound: Li3Ga3Pb
Source: the Alexandria database
Functional: PBE-GGA
Structure: relaxed

Calculated values
Its formation energy is 326 meV/atom. Its total energy is -2.321 eV/atom. For the magnetic moment, the calculation gives 0.00 μB per cell.

Structure (POSCAR):
```
Li3Ga3Pb
1.0
-5.509 4.226 -0.419
-3.700 -5.113 -2.924
-2.084 -2.092 6.298
Pb Ga Li
2 6 6
direct
0.500 0.500 0.500
0.000 0.000 0.000
0.250 0.000 0.500
0.000 0.500 0.250
0.500 0.750 0.000
0.750 0.000 0.500
0.000 0.500 0.750
0.500 0.250 0.000
0.000 0.250 0.500
0.000 0.750 0.500
0.500 0.000 0.750
0.750 0.500 0.000
0.500 0.000 0.250
0.250 0.500 0.000
```



No. 4
Compound: Li8GaPb2
Source: the Alexandria database
Functional: PBE-GGA
Structure: relaxed

Calculated values
Its formation energy is -242 meV/atom. Its total energy is -2.583 eV/atom. For the magnetic moment, the calculation gives 0.00 μB per cell.

Structure (POSCAR):
```
Li8GaPb2
1.0
-1.204 2.733 -3.557
-6.587 -2.724 0.138
1.927 4.276 5.666
Li Ga Pb
8 1 2
direct
0.399 0.569 0.798
0.664 0.888 0.327
0.857 0.817 0.715
0.976 0.272 0.952
0.143 0.183 0.285
0.336 0.112 0.673
0.601 0.431 0.202
0.024 0.728 0.048
0.500 0.000 0.000
0.787 0.338 0.574
0.213 0.662 0.426
```



No. 5
Compound: Li2GaPb
Source: the Alexandria database
Functional: PBE-GGA
Structure: relaxed

Calculated values
Its formation energy is -244 meV/atom. Its total energy is -2.884 eV/atom. For the magnetic moment, the calculation gives 0.00 μB per cell.

Structure (POSCAR):
```
Li2GaPb
1.0
-2.786 0.596 1.853
-0.525 -3.346 0.287
3.641 -0.098 5.503
Pb Ga Li
1 1 2
direct
0.500 0.500 0.000
0.500 0.500 0.500
0.000 0.000 0.720
0.000 0.000 0.280
```



No. 6
Compound: Li4GaPb7
Source: the Alexandria database
Functional: PBE-GGA
Structure: relaxed

Calculated values
Its formation energy is -56 meV/atom. Its total energy is -3.110 eV/atom. For the magnetic moment, the calculation gives 0.00 μB per cell.

Structure (POSCAR):
```
Li4GaPb7
1.0
5.444 0.000 0.000
2.722 8.123 0.204
2.722 0.536 7.141
Li Ga Pb
4 1 7
direct
0.560 0.226 0.655
0.440 0.774 0.345
0.696 0.651 0.957
0.304 0.349 0.043
0.000 0.000 0.000
0.782 0.866 0.569
0.218 0.134 0.431
0.071 0.662 0.196
0.929 0.338 0.804
0.336 0.610 0.718
0.500 0.000 0.000
0.664 0.390 0.282
```



No. 7
Compound: LiGaPb
Source: the Alexandria database
Functional: PBE-GGA
Structure: relaxed

Calculated values
Its formation energy is -108 meV/atom. Its total energy is -2.991 eV/atom. For the magnetic moment, the calculation gives 0.00 μB per cell.

Structure (POSCAR):
```
LiGaPb
1.0
3.481 0.000 0.000
0.000 4.731 0.000
0.000 -2.366 4.097
Pb Ga Li
1 1 1
direct
0.687 0.667 0.333
0.063 0.000 0.000
0.250 0.333 0.667
```



No. 8
Compound: LiGaPb
Source: the Alexandria database
Functional: PBE-GGA
Structure: relaxed

Calculated values
Its formation energy is -130 meV/atom. Its total energy is -3.013 eV/atom. For the magnetic moment, the calculation gives 0.00 μB per cell.

Structure (POSCAR):
```
LiGaPb
1.0
-0.111 1.847 -3.907
1.657 -3.767 -1.828
-6.305 -3.238 0.956
Pb Ga Li
2 2 2
direct
0.402 0.500 0.155
0.594 0.000 0.531
0.115 0.500 0.569
0.759 0.500 0.858
0.920 0.000 0.187
0.252 0.000 0.850
```



No. 9
Compound: LiGaPb
Source: the Alexandria database
Functional: PBE-GGA
Structure: relaxed

Calculated values
Its formation energy is -143 meV/atom. Its total energy is -3.026 eV/atom. For the magnetic moment, the calculation gives 0.00 μB per cell.

Structure (POSCAR):
```
LiGaPb
1.0
-0.041 4.912 6.029
-0.685 -4.199 2.505
3.409 -0.365 0.322
Pb Ga Li
2 2 2
direct
0.344 0.718 0.000
0.656 0.282 0.000
0.000 0.000 0.000
0.000 0.500 0.500
0.292 0.209 0.500
0.708 0.791 0.500
```



No. 10
Compound: Li4GaPb10
Source: the Alexandria database
Functional: PBE-GGA
Structure: relaxed

Calculated values
Its formation energy is -38 meV/atom. Its total energy is -3.223 eV/atom. For the magnetic moment, the calculation gives 0.00 μB per cell.

Structure (POSCAR):
```
Li4GaPb10
1.0
-6.863 -0.516 0.805
-4.111 -2.653 -6.925
-2.608 -7.594 2.724
Li Ga Pb
4 1 10
direct
0.398 0.803 0.402
0.799 0.598 0.803
0.201 0.402 0.197
0.602 0.197 0.598
0.000 0.000 0.000
0.250 0.500 0.500
0.649 0.301 0.895
0.050 0.105 0.301
0.455 0.895 0.699
0.845 0.699 0.105
0.351 0.699 0.105
0.750 0.500 0.500
0.155 0.301 0.895
0.545 0.105 0.301
0.950 0.895 0.699
```



No. 11
Compound: LiGaPb
Source: the Alexandria database
Functional: PBE-GGA
Structure: relaxed

Calculated values
Its formation energy is -124 meV/atom. Its total energy is -3.007 eV/atom. For the magnetic moment, the calculation gives 0.00 μB per cell.

Structure (POSCAR):
```
LiGaPb
1.0
-2.831 0.750 -4.400
1.739 -5.113 1.319
-3.278 -1.710 4.314
Pb Ga Li
2 2 2
direct
0.458 0.049 0.327
0.961 0.229 0.865
0.638 0.570 0.847
0.780 0.707 0.343
0.269 0.868 0.815
0.150 0.409 0.377
```



No. 12
Compound: LiGaPb
Source: the Alexandria database
Functional: PBE-GGA
Structure: relaxed

Calculated values
Its formation energy is -66 meV/atom. Its total energy is -2.949 eV/atom. For the magnetic moment, the calculation gives 0.00 μB per cell.

Structure (POSCAR):
```
LiGaPb
1.0
-3.072 -2.582 2.018
-1.243 -3.890 -1.873
6.121 -3.950 4.222
Li Ga Pb
2 2 2
direct
0.951 0.118 0.438
0.617 0.780 0.876
0.284 0.452 0.619
0.618 0.785 0.572
0.617 0.782 0.238
0.951 0.114 0.042
```